# 1
MnNbPCl2 | Alexandria | PBE-GGA | optimized geometry; density of states at the Fermi level = 1.53 states/eV/atom; ΔE_f (raw) = 0.497 eV/atom; relative energy among the computed polymorphs = 0.424 eV per atom
1.0
-4.295 1.035 -0.510
0.290 -0.931 -4.338
-1.261 -4.771 0.940
Cl Mn Nb P
2 1 1 1
direct
0.500 0.000 0.000
0.000 0.500 0.000
0.000 0.000 0.000
0.500 0.500 0.500
0.000 0.000 0.500

=====

# 2
YBTe2I | Alexandria | PBE-GGA | optimized geometry; density of states at the Fermi level = 0.32 states/eV/atom; ΔE_f (raw) = 0.091 eV/atom; relative energy among the computed polymorphs = 0.000 eV per atom
1.0
4.960 0.000 0.000
0.000 4.960 0.000
0.000 0.000 5.176
I B Y Te
1 1 1 2
direct
0.000 0.000 0.500
0.000 0.000 0.000
0.500 0.500 0.500
0.000 0.500 0.000
0.500 0.000 0.000

=====

# 3
NaNi | Alexandria | PBE-GGA | optimized geometry; density of states at the Fermi level = 1.22 states/eV/atom; energy of formation = 0.584 eV/atom
1.0
-2.827 9.547 1.552
-9.067 -2.052 -3.889
-1.333 -0.985 3.628
Na Ni
8 8
direct
0.267 0.000 0.500
0.500 0.233 0.000
0.733 0.000 0.500
0.000 0.733 0.500
0.000 0.267 0.500
0.767 0.500 0.000
0.500 0.767 0.000
0.233 0.500 0.000
0.783 0.783 0.000
0.283 0.717 0.500
0.717 0.283 0.500
0.217 0.783 0.000
0.717 0.717 0.500
0.217 0.217 0.000
0.783 0.217 0.000
0.283 0.283 0.500